HfPdPt (PBE-GGA, relaxed); energy = -0.5899 Ry per atom; E_form = -0.9638 eV/atom; SG = P4/nmm, No. 129; crystal system = tetragonal
1.0
-0.729 3.341 0.396
-0.986 0.175 -3.293
-8.173 -2.061 2.336
Pt Pd Hf
2 2 2
direct
0.500 0.000 0.094
0.000 0.500 0.906
0.000 0.500 0.585
0.500 0.000 0.415
0.500 0.000 0.754
0.000 0.500 0.246